Entry 1:
The following is a DFT calculation (PBE) of a relaxed KBaCu2 crystal.

Lattice parameters (Å, degrees): 5.5906 5.5906 5.5906 60.00 60.00 60.00
With the nearest neighbours (Å) after each atom.
Atoms (fractional coordinates):
K 0.0000 0.0000 0.0000  8 Cu 3.42
Ba 0.5000 0.5000 0.5000  8 Cu 3.42
Cu 0.2500 0.2500 0.2500  4 Ba 3.42, 4 K 3.42
Cu 0.7500 0.7500 0.7500  4 Ba 3.42, 4 K 3.42

Properties
symmetry	Fm-3m
DOS(E_F)	2.40	states/eV/cell
spin magnetization	0.0	Bohr magnetons per cell
DFT formation energy	261	meV/atom

Entry 2:
The following is a DFT calculation (PBE) of a relaxed KBa2Cu2 crystal.

Lattice parameters (Å, degrees): 9.5563 9.5563 3.9032 90.00 90.00 90.00
With the nearest neighbours (Å) after each atom.
Atoms (fractional coordinates):
K 0.0000 0.0000 0.0000  4 Ba 3.69, 2 K 3.90
K 0.5000 0.5000 0.0000  4 Ba 3.69, 2 K 3.90
Ba 0.1409 0.3591 0.0000  6 Cu 3.39-3.45, 2 K 3.69
Ba 0.3591 0.8591 0.0000  6 Cu 3.39-3.45, 2 K 3.69
Ba 0.6409 0.1409 0.0000  6 Cu 3.39-3.45, 2 K 3.69
Ba 0.8591 0.6409 0.0000  6 Cu 3.39-3.45, 2 K 3.69
Cu 0.1486 0.6486 0.5000  6 Ba 3.39-3.45
Cu 0.3514 0.1486 0.5000  6 Ba 3.39-3.45
Cu 0.6486 0.8514 0.5000  6 Ba 3.39-3.45
Cu 0.8514 0.3514 0.5000  6 Ba 3.39-3.45

Properties
symmetry	P4/mbm
DOS(E_F)	7.29	states/eV/cell
spin magnetization	0.0	Bohr magnetons per cell
DFT formation energy	205	meV/atom

Entry 3:
The following is a DFT calculation (PBE) of a relaxed KBa2Cu crystal.

Lattice parameters (Å, degrees): 4.7172 4.7172 11.7545 102.10 102.10 60.27
With the nearest neighbours (Å) after each atom.
Atoms (fractional coordinates):
K 0.0000 0.0000 0.0000  6 K 4.72-4.74, 6 Ba 4.79-4.83
Ba 0.2197 0.2197 0.6533  3 Cu 3.24
Ba 0.7803 0.7803 0.3467  3 Cu 3.24
Cu 0.5000 0.5000 0.5000  6 Ba 3.24

Properties
symmetry	C2/m
DOS(E_F)	4.01	states/eV/cell
spin magnetization	0.0	Bohr magnetons per cell
DFT formation energy	36	meV/atom

Entry 4:
The following is a DFT calculation (PBE) of a relaxed K2BaCu crystal.

Lattice parameters (Å, degrees): 4.1598 4.1598 11.4185 90.00 90.00 90.18
With the nearest neighbours (Å) after each atom.
Atoms (fractional coordinates):
K 0.0000 0.0000 0.0000  4 Cu 3.71-3.72, 1 Ba 3.88
K 0.5000 0.5000 0.3337  4 K 4.16
Ba 0.0000 0.0000 0.6606  4 Cu 3.35-3.36
Cu 0.5000 0.5000 0.8014  4 Ba 3.35-3.36, 4 K 3.71-3.72

Properties
symmetry	Cmm2
DOS(E_F)	4.84	states/eV/cell
spin magnetization	0.0	Bohr magnetons per cell
DFT formation energy	146	meV/atom